DFT (GGA-PBEsol) results for an optimized crystal structure of K2Cd.

Calculated values
**SG**: Pnma, No. 62

Unit cell a=8.207 b=5.792 c=11.212 alpha=90.00 beta=90.00 gamma=90.00
Positions (direct):
K (0.040, 0.250, 0.191)
K (0.168, 0.250, 0.563)
K (0.332, 0.750, 0.063)
K (0.460, 0.750, 0.691)
K (0.540, 0.250, 0.309)
K (0.668, 0.250, 0.937)
K (0.832, 0.750, 0.437)
K (0.960, 0.750, 0.809)
Cd (0.228, 0.250, 0.880)
Cd (0.272, 0.750, 0.380)
Cd (0.728, 0.250, 0.620)
Cd (0.772, 0.750, 0.120)

=====

DFT (GGA-PBEsol) results for an optimized crystal structure of K2Cd.

Calculated values
**SG**: Fm-3m, No. 225

Unit cell a=8.405 b=8.405 c=8.405 alpha=90.00 beta=90.00 gamma=90.00
Positions (direct):
K (0.250, 0.250, 0.250)
K (0.250, 0.250, 0.750)
K (0.250, 0.750, 0.250)
K (0.250, 0.750, 0.750)
K (0.750, 0.250, 0.250)
K (0.750, 0.250, 0.750)
K (0.750, 0.750, 0.250)
K (0.750, 0.750, 0.750)
Cd (0.000, 0.000, 0.000)
Cd (0.000, 0.500, 0.500)
Cd (0.500, 0.000, 0.500)
Cd (0.500, 0.500, 0.000)

=====

DFT (GGA-PBEsol) results for an optimized crystal structure of K3Cd.

Calculated values
**SG**: P4/mmm, No. 123

Unit cell a=5.759 b=5.759 c=5.727 alpha=90.00 beta=90.00 gamma=90.00
Positions (direct):
K (0.000, 0.000, 0.000)
K (0.000, 0.500, 0.500)
K (0.500, 0.000, 0.500)
Cd (0.500, 0.500, 0.000)

=====

DFT (GGA-PBEsol) results for an optimized crystal structure of K3Cd.

Calculated values
**SG**: Immm, No. 71

Unit cell a=4.491 b=6.599 c=13.603 alpha=90.00 beta=90.00 gamma=90.00
Positions (direct):
K (0.000, 0.000, 0.000)
K (0.000, 0.500, 0.204)
K (0.000, 0.500, 0.796)
K (0.500, 0.000, 0.296)
K (0.500, 0.000, 0.704)
K (0.500, 0.500, 0.500)
Cd (0.000, 0.000, 0.500)
Cd (0.500, 0.500, 0.000)

=====

DFT (GGA-PBEsol) results for an optimized crystal structure of K3Cd16.

Calculated values
**SG**: P4/nnc, No. 126

Unit cell a=8.978 b=8.978 c=11.544 alpha=90.00 beta=90.00 gamma=90.00
Positions (direct):
K (0.250, 0.250, 0.084)
K (0.250, 0.250, 0.416)
K (0.250, 0.250, 0.750)
K (0.750, 0.750, 0.250)
K (0.750, 0.750, 0.584)
K (0.750, 0.750, 0.916)
Cd (0.094, 0.611, 0.063)
Cd (0.094, 0.889, 0.437)
Cd (0.099, 0.606, 0.812)
Cd (0.099, 0.894, 0.688)
Cd (0.106, 0.599, 0.312)
Cd (0.106, 0.901, 0.188)
Cd (0.111, 0.594, 0.563)
Cd (0.111, 0.906, 0.937)
Cd (0.389, 0.594, 0.937)
Cd (0.389, 0.906, 0.563)
Cd (0.394, 0.599, 0.188)
Cd (0.394, 0.901, 0.312)
Cd (0.401, 0.606, 0.688)
Cd (0.401, 0.894, 0.812)
Cd (0.406, 0.611, 0.437)
Cd (0.406, 0.889, 0.063)
Cd (0.594, 0.111, 0.937)
Cd (0.594, 0.389, 0.563)
Cd (0.599, 0.106, 0.188)
Cd (0.599, 0.394, 0.312)
Cd (0.606, 0.099, 0.688)
Cd (0.606, 0.401, 0.812)
Cd (0.611, 0.094, 0.437)
Cd (0.611, 0.406, 0.063)
Cd (0.889, 0.094, 0.063)
Cd (0.889, 0.406, 0.437)
Cd (0.894, 0.099, 0.812)
Cd (0.894, 0.401, 0.688)
Cd (0.901, 0.106, 0.312)
Cd (0.901, 0.394, 0.188)
Cd (0.906, 0.111, 0.563)
Cd (0.906, 0.389, 0.937)

=====

DFT (GGA-PBEsol) results for an optimized crystal structure of K5Cd.

Calculated values
**SG**: P4/mmm, No. 123

Unit cell a=4.386 b=4.386 c=17.819 alpha=90.00 beta=90.00 gamma=90.00
Positions (direct):
K (0.000, 0.000, 0.000)
K (0.000, 0.000, 0.387)
K (0.000, 0.000, 0.613)
K (0.500, 0.500, 0.196)
K (0.500, 0.500, 0.804)
Cd (0.500, 0.500, 0.500)

=====

| no. | uncorrected energy (Ha/atom) | density of states at the Fermi level (states/eV/f.u.) |
| --- | --- | --- |
| 1 | -0.0405 | 1.45 |
| 2 | -0.0389 | 1.24 |
| 3 | -0.0395 | 2.48 |
| 4 | -0.0401 | 2.08 |
| 5 | -0.0471 | 7.62 |
| 6 | -0.0409 | 4.45 |